LaTb5Ga6 (PBE-GGA, relaxed); formation energy from the elements = -578 meV per atom; VASP energy = -53.2 eV per cell; density = 7.90 g cm⁻³; DOS(E_F) = 4.9 states/eV per cell
1.0
5.117 0.000 0.000
0.000 7.217 0.000
-2.541 0.000 7.691
La Tb Ga
1 5 6
Direct
0.000 0.000 0.000 La
0.000 0.500 0.000 Tb
0.332 0.000 0.665 Tb
0.338 0.500 0.675 Tb
0.662 0.500 0.325 Tb
0.668 0.000 0.335 Tb
0.171 0.258 0.342 Ga
0.171 0.742 0.342 Ga
0.500 0.256 0.000 Ga
0.500 0.744 0.000 Ga
0.829 0.258 0.658 Ga
0.829 0.742 0.658 Ga